Computed, not measured: an optimized crystal structure of TbPrPu at the PBE level of DFT.

Its calculated volume is 31.9 A^3/atom. For the total magnetization, the calculation gives 12.349 μB per cell. As for the raw total energy: -7.784 eV per atom. The value obtained for the formation energy is 130 meV/atom.

The structure belongs to space group I4mm (No. 107); the cell edges are 3.563, 3.563 and 15.070 Å and the angles 90.00°, 90.00° and 90.00°. The asymmetric unit holds Tb at (0.000, 0.000, 0.000), Pr at (0.000, 0.000, 0.674) and Pu at (0.000, 0.000, 0.340).

Computed, not measured: an optimized crystal structure of TbPr2Pu at the PBE level of DFT.

Its calculated volume is 33.1 A^3/atom. For the total magnetization, the calculation gives 6.218 μB per cell. As for the raw total energy: -7.011 eV per atom. The value obtained for the formation energy is 120 meV/atom.

The structure belongs to space group P4/mmm (No. 123); the cell edges are 3.591, 3.591 and 10.260 Å and the angles 90.00°, 90.00° and 90.00°. The asymmetric unit holds Tb at (0.000, 0.000, 0.000), Pr at (0.500, 0.500, 0.255) and Pu at (0.000, 0.000, 0.500).

Which formula does entry 2 have? TbPr2Pu